Version one
# GeTe3H PBE optimized geometry
data_GeTe3H
_chemical_formula_sum 'Ge1 Te3 H1'
_cell_length_a 5.480
_cell_length_b 5.480
_cell_length_c 5.480
_cell_angle_alpha 90.00
_cell_angle_beta 90.00
_cell_angle_gamma 90.00
_space_group_name_H-M_alt 'P 1'
_space_group_IT_number 1
_space_group_name_Hall 'P 1'
loop_
_atom_site_label
_atom_site_fract_x
_atom_site_fract_y
_atom_site_fract_z
Ge1 0.000 0.000 0.000
Te1 0.000 0.000 0.500
Te2 0.000 0.500 0.000
Te3 0.500 0.000 0.000
H1 0.500 0.500 0.500
# - V: 164.6 Å³/cell
# - Total magnetization: 0.64 μB per formula unit
# - Space-group type: Pm-3m (221)

***

Version two
# GeTe3H PBE optimized geometry
data_GeTe3H
_chemical_formula_sum 'Ge1 Te3 H1'
_cell_length_a 4.789
_cell_length_b 4.789
_cell_length_c 4.789
_cell_angle_alpha 90.00
_cell_angle_beta 90.00
_cell_angle_gamma 90.00
_space_group_name_H-M_alt 'P 1'
_space_group_IT_number 1
_space_group_name_Hall 'P 1'
loop_
_atom_site_label
_atom_site_fract_x
_atom_site_fract_y
_atom_site_fract_z
Ge1 0.000 0.000 0.000
Te1 0.000 0.500 0.500
Te2 0.500 0.000 0.500
Te3 0.500 0.500 0.000
H1 0.500 0.500 0.500
# - V: 109.8 Å³/cell
# - Total magnetization: 0.00 μB per formula unit
# - Space-group type: Pm-3m (221)

***

The data favor version two; the next most stable structure lies 0.276 eV/atom above it.

***

Version one
# ThGeH PBE optimized geometry
data_ThGeH
_chemical_formula_sum 'Th2 Ge2 H2'
_cell_length_a 6.253
_cell_length_b 6.253
_cell_length_c 4.368
_cell_angle_alpha 90.00
_cell_angle_beta 90.00
_cell_angle_gamma 138.51
_space_group_name_H-M_alt 'P 1'
_space_group_IT_number 1
_space_group_name_Hall 'P 1'
loop_
_atom_site_label
_atom_site_fract_x
_atom_site_fract_y
_atom_site_fract_z
Th1 0.148 0.852 0.750
Th2 0.852 0.148 0.250
Ge1 0.411 0.589 0.750
Ge2 0.589 0.411 0.250
H1 0.000 0.000 0.000
H2 0.000 0.000 0.500
# - V: 113.1 Å³/cell
# - Total magnetization: 0.00 μB per formula unit
# - Space-group type: Cmcm (63)

***

Version two
# ThGeH PBE optimized geometry
data_ThGeH
_chemical_formula_sum 'Th1 Ge1 H1'
_cell_length_a 3.963
_cell_length_b 3.963
_cell_length_c 4.301
_cell_angle_alpha 90.00
_cell_angle_beta 90.00
_cell_angle_gamma 120.00
_space_group_name_H-M_alt 'P 1'
_space_group_IT_number 1
_space_group_name_Hall 'P 1'
loop_
_atom_site_label
_atom_site_fract_x
_atom_site_fract_y
_atom_site_fract_z
Th1 0.000 0.000 0.000
Ge1 0.667 0.333 0.500
H1 0.333 0.667 0.999
# - V: 58.5 Å³/cell
# - Total magnetization: 0.00 μB per formula unit
# - Space-group type: P3m1 (156)

***

The data favor version two; the next most stable structure lies 0.190 eV/atom above it.

***

Version one
# Ti3GeH PBE optimized geometry
data_Ti3GeH
_chemical_formula_sum 'Ti6 Ge2 H2'
_cell_length_a 6.496
_cell_length_b 6.496
_cell_length_c 7.163
_cell_angle_alpha 97.08
_cell_angle_beta 97.08
_cell_angle_gamma 29.15
_space_group_name_H-M_alt 'P 1'
_space_group_IT_number 1
_space_group_name_Hall 'P 1'
loop_
_atom_site_label
_atom_site_fract_x
_atom_site_fract_y
_atom_site_fract_z
Ti1 0.032 0.032 0.309
Ti2 0.154 0.154 0.963
Ti3 0.337 0.337 0.388
Ti4 0.663 0.663 0.612
Ti5 0.846 0.846 0.037
Ti6 0.968 0.968 0.691
Ge1 0.318 0.318 0.752
Ge2 0.682 0.682 0.248
H1 0.113 0.113 0.702
H2 0.887 0.887 0.298
# - V: 146.0 Å³/cell
# - Total magnetization: 0.00 μB per formula unit
# - Space-group type: C2/m (12)

***

Version two
# Ti3GeH PBE optimized geometry
data_Ti3GeH
_chemical_formula_sum 'Ti3 Ge1 H1'
_cell_length_a 4.036
_cell_length_b 4.036
_cell_length_c 4.036
_cell_angle_alpha 90.00
_cell_angle_beta 90.00
_cell_angle_gamma 90.00
_space_group_name_H-M_alt 'P 1'
_space_group_IT_number 1
_space_group_name_Hall 'P 1'
loop_
_atom_site_label
_atom_site_fract_x
_atom_site_fract_y
_atom_site_fract_z
Ti1 0.000 0.000 0.500
Ti2 0.000 0.500 0.000
Ti3 0.500 0.000 0.000
Ge1 0.500 0.500 0.500
H1 0.000 0.000 0.000
# - V: 65.7 Å³/cell
# - Total magnetization: 0.00 μB per formula unit
# - Space-group type: Pm-3m (221)

***

The data favor version two; the next most stable structure lies 0.133 eV/atom above it.

***

Version one
# TiGe2H PBE optimized geometry
data_TiGe2H
_chemical_formula_sum 'Ti2 Ge4 H2'
_cell_length_a 6.565
_cell_length_b 6.565
_cell_length_c 6.565
_cell_angle_alpha 137.29
_cell_angle_beta 137.29
_cell_angle_gamma 61.99
_space_group_name_H-M_alt 'P 1'
_space_group_IT_number 1
_space_group_name_Hall 'P 1'
loop_
_atom_site_label
_atom_site_fract_x
_atom_site_fract_y
_atom_site_fract_z
Ti1 0.000 0.000 0.000
Ti2 0.750 0.250 0.500
Ge1 0.279 0.625 0.154
Ge2 0.375 0.529 0.654
Ge3 0.471 0.125 0.846
Ge4 0.875 0.721 0.346
H1 0.250 0.750 0.500
H2 0.500 0.500 0.000
# - V: 128.7 Å³/cell
# - Total magnetization: 0.00 μB per formula unit
# - Space-group type: I-42d (122)

***

Version two
# TiGe2H PBE optimized geometry
data_TiGe2H
_chemical_formula_sum 'Ti1 Ge2 H1'
_cell_length_a 4.399
_cell_length_b 4.399
_cell_length_c 4.399
_cell_angle_alpha 60.00
_cell_angle_beta 60.00
_cell_angle_gamma 60.00
_space_group_name_H-M_alt 'P 1'
_space_group_IT_number 1
_space_group_name_Hall 'P 1'
loop_
_atom_site_label
_atom_site_fract_x
_atom_site_fract_y
_atom_site_fract_z
Ti1 0.000 0.000 0.000
Ge1 0.250 0.250 0.250
Ge2 0.750 0.750 0.750
H1 0.500 0.500 0.500
# - V: 60.2 Å³/cell
# - Total magnetization: 0.62 μB per formula unit
# - Space-group type: Fm-3m (225)

***

The data favor version one; the next most stable structure lies 0.028 eV/atom above it.

***

Version one
# Ti2GeH PBE optimized geometry
data_Ti2GeH
_chemical_formula_sum 'Ti8 Ge4 H4'
_cell_length_a 5.509
_cell_length_b 3.754
_cell_length_c 9.992
_cell_angle_alpha 90.00
_cell_angle_beta 90.00
_cell_angle_gamma 90.00
_space_group_name_H-M_alt 'P 1'
_space_group_IT_number 1
_space_group_name_Hall 'P 1'
loop_
_atom_site_label
_atom_site_fract_x
_atom_site_fract_y
_atom_site_fract_z
Ti1 0.002 0.250 0.250
Ti2 0.248 0.250 0.561
Ti3 0.252 0.750 0.061
Ti4 0.498 0.750 0.750
Ti5 0.502 0.250 0.250
Ti6 0.748 0.250 0.939
Ti7 0.752 0.750 0.439
Ti8 0.998 0.750 0.750
Ge1 0.248 0.250 0.869
Ge2 0.252 0.750 0.369
Ge3 0.748 0.250 0.631
Ge4 0.752 0.750 0.131
H1 0.248 0.750 0.620
H2 0.252 0.250 0.120
H3 0.748 0.750 0.880
H4 0.752 0.250 0.380
# - V: 206.6 Å³/cell
# - Total magnetization: 0.00 μB per formula unit
# - Space-group type: Pnma (62)

***

Version two
# Ti2GeH PBE optimized geometry
data_Ti2GeH
_chemical_formula_sum 'Ti2 Ge1 H1'
_cell_length_a 4.267
_cell_length_b 4.267
_cell_length_c 4.267
_cell_angle_alpha 60.00
_cell_angle_beta 60.00
_cell_angle_gamma 60.00
_space_group_name_H-M_alt 'P 1'
_space_group_IT_number 1
_space_group_name_Hall 'P 1'
loop_
_atom_site_label
_atom_site_fract_x
_atom_site_fract_y
_atom_site_fract_z
Ti1 0.250 0.250 0.250
Ti2 0.750 0.750 0.750
Ge1 0.000 0.000 0.000
H1 0.500 0.500 0.500
# - V: 55.0 Å³/cell
# - Total magnetization: 0.00 μB per formula unit
# - Space-group type: Fm-3m (225)

***

Version three
# Ti2GeH PBE optimized geometry
data_Ti2GeH
_chemical_formula_sum 'Ti4 Ge2 H2'
_cell_length_a 5.141
_cell_length_b 5.141
_cell_length_c 5.141
_cell_angle_alpha 108.62
_cell_angle_beta 108.62
_cell_angle_gamma 111.18
_space_group_name_H-M_alt 'P 1'
_space_group_IT_number 1
_space_group_name_Hall 'P 1'
loop_
_atom_site_label
_atom_site_fract_x
_atom_site_fract_y
_atom_site_fract_z
Ti1 0.041 0.625 0.916
Ti2 0.375 0.291 0.416
Ti3 0.709 0.125 0.084
Ti4 0.875 0.959 0.584
Ge1 0.250 0.750 0.500
Ge2 0.500 0.500 0.000
H1 0.000 0.000 0.000
H2 0.750 0.250 0.500
# - V: 104.5 Å³/cell
# - Total magnetization: 0.00 μB per formula unit
# - Space-group type: I-42d (122)

***

Version four
# Ti2GeH PBE optimized geometry
data_Ti2GeH
_chemical_formula_sum 'Ti2 Ge1 H1'
_cell_length_a 5.208
_cell_length_b 5.208
_cell_length_c 5.208
_cell_angle_alpha 40.64
_cell_angle_beta 40.64
_cell_angle_gamma 40.64
_space_group_name_H-M_alt 'P 1'
_space_group_IT_number 1
_space_group_name_Hall 'P 1'
loop_
_atom_site_label
_atom_site_fract_x
_atom_site_fract_y
_atom_site_fract_z
Ti1 0.234 0.234 0.234
Ti2 0.766 0.766 0.766
Ge1 0.000 0.000 0.000
H1 0.500 0.500 0.500
# - V: 54.0 Å³/cell
# - Total magnetization: 0.00 μB per formula unit
# - Space-group type: R-3m (166)

***

The data favor version one; the next most stable structure lies 0.124 eV/atom above it.